MgCd5Rh2: optimized geometry, PBE.

- Space group: No. 55
- Energy of formation from the pure elements: -0.159 eV per atom
- Polymorph energy (0 for the lowest one): 0.000 eV/atom

Geometry as extended XYZ:
```
16
Lattice="4.171 0.000 0.000 0.000 5.923 0.000 0.000 0.000 11.869" Properties=species:S:1:pos:R:3 pbc="T T T"
Cd 0.000 0.023 2.978
Cd 2.086 4.421 7.442
Cd 0.000 2.939 8.913
Cd 2.086 1.502 4.427
Cd 0.000 2.962 5.935
Cd 0.000 5.900 8.891
Cd 2.086 4.464 1.507
Cd 0.000 0.000 0.000
Cd 0.000 2.985 2.956
Cd 2.086 1.460 10.362
Mg 0.000 2.962 0.000
Mg 0.000 0.000 5.935
Rh 2.086 4.512 4.541
Rh 2.086 1.551 1.394
Rh 2.086 4.373 10.475
Rh 2.086 1.411 7.329
```

=====

Mg4CdRh5: optimized geometry, PBE.

- Space group: No. 123
- Energy of formation from the pure elements: -0.387 eV per atom

Geometry as extended XYZ:
```
10
Lattice="3.141 0.000 0.000 0.000 3.141 0.000 0.000 0.000 15.740" Properties=species:S:1:pos:R:3 pbc="T T T"
Mg 0.000 0.000 6.327
Mg 0.000 0.000 9.412
Mg 0.000 0.000 3.240
Mg 0.000 0.000 12.499
Cd 0.000 0.000 0.000
Rh 1.570 1.570 7.870
Rh 1.570 1.570 14.021
Rh 1.570 1.570 4.787
Rh 1.570 1.570 10.953
Rh 1.570 1.570 1.718
```

=====

MgCd2Rh: optimized geometry, PBE.

- Space group: No. 216
- Energy of formation from the pure elements: -0.182 eV per atom

Geometry as extended XYZ:
```
4
Lattice="-0.640 1.613 4.343 1.328 -2.576 3.671 3.679 1.315 2.572" Properties=species:S:1:pos:R:3 pbc="T T T"
Cd 1.092 0.088 2.646
Cd 0.000 0.000 0.000
Mg 2.183 0.176 5.293
Rh 3.275 0.264 7.939
```

=====

Table of total moment (μB per formula unit), in record order: 0.00; 0.00; 0.00